Density functional theory data (PBE+U) for a relaxed BaIrWO6 crystal.

**Fermi-level density of states**: 0.55 states/eV/atom
**Uncorrected energy**: -63.9 eV/cell
**Magnetization**: 1.05 μB/cell
**Calculated volume**: 144.2 Å³/cell

a = 5.380 Å, b = 5.380 Å, c = 5.752 Å
α = 90.00°, β = 90.00°, γ = 120.00°
Atoms (fractional coordinates):
Ba: 0.000 0.000 0.000
Ir: 0.333 0.667 0.500
W: 0.667 0.333 0.500
O: 0.389 0.010 0.690
O: 0.389 0.379 0.310
O: 0.621 0.010 0.310
O: 0.621 0.611 0.690
O: 0.990 0.379 0.690
O: 0.990 0.611 0.310